[1]
Computed, not measured: crystalline LiPmSmHo at its relaxed geometry at the PBE level of DFT.

Unit cell a=7.8651 b=7.8651 c=7.8651 alpha=90.00 beta=90.00 gamma=90.00
Space group F-43m (No. 216)
Asymmetric unit:
Li  0.0000  0.0000  0.0000 x4
Pm  0.0000  0.0000  0.5000 x4
Sm  0.2500  0.2500  0.7500 x4
Ho  0.2500  0.2500  0.2500 x4

Calculated values
magnetic moment	0.00	μB/f.u.
DFT formation energy	0.20	eV per atom
electronic total energy	-3.79	eV per atom

---

[2]
Computed, not measured: crystalline LiTbPmHo at its relaxed geometry at the PBE level of DFT.

Unit cell a=7.8032 b=7.8032 c=7.8032 alpha=90.00 beta=90.00 gamma=90.00
Space group F-43m (No. 216)
Asymmetric unit:
Li  0.0000  0.0000  0.0000 x4
Tb  0.2500  0.2500  0.7500 x4
Pm  0.2500  0.2500  0.2500 x4
Ho  0.0000  0.0000  0.5000 x4

Calculated values
magnetic moment	0.00	μB/f.u.
DFT formation energy	0.17	eV per atom
electronic total energy	-3.80	eV per atom

---

Among the records above, which one has the highest electronic total energy? LiPmSmHo